[1]
Computed, not measured: crystalline LaTlCl2 at its relaxed geometry at the GGA-PBEsol level of DFT.

Structure (extended XYZ):
```
4
Lattice="3.813 0.000 0.014 0.000 4.753 0.000 -0.209 0.000 6.039" Properties=species:S:1:pos:R:3 pbc="T T T"
Tl -0.104 2.377 3.020
Cl 2.450 0.000 4.624
Cl 1.154 0.000 1.429
La 1.906 2.377 0.007
```

Calculated values
magnetization: 0.000 μB/f.u.
calculated density: 6.3 g/cm³
calculated volume: 109.5 Å³/f.u.
uncorrected formation energy: -1.28 eV/atom
raw total energy: -4.281 eV/atom
space-group type: No. 10

[2]
Computed, not measured: crystalline KSiIr2 at its relaxed geometry at the GGA-PBEsol level of DFT.

Structure (extended XYZ):
```
4
Lattice="-2.380 -0.041 1.225 1.932 -3.256 3.528 1.511 5.255 0.246" Properties=species:S:1:pos:R:3 pbc="T T T"
Ir -0.434 2.607 0.735
Ir 1.722 0.999 1.887
Si -0.224 -1.649 2.377
K 0.000 0.000 0.000
```

Calculated values
magnetization: 0.000 μB/f.u.
calculated density: 11.7 g/cm³
calculated volume: 64.3 Å³/f.u.
uncorrected formation energy: 0.80 eV/atom
raw total energy: -5.827 eV/atom
space-group type: No. 12

[3]
Computed, not measured: crystalline Al2GeO4F2 at its relaxed geometry at the GGA-PBEsol level of DFT.

Structure (extended XYZ):
```
36
Lattice="-3.389 -0.147 3.349 -5.570 -2.981 -5.767 2.393 -8.439 2.051" Properties=species:S:1:pos:R:3 pbc="T T T"
Ge 0.517 -8.691 0.821
Ge -4.871 -7.051 -1.166
Ge -1.695 -4.516 0.799
Ge -7.083 -2.875 -1.189
O -5.622 -1.915 -0.983
O -4.215 -8.679 -0.959
O -2.559 -5.362 2.071
O -4.724 -6.147 0.337
O -4.007 -6.204 -2.439
O -2.619 -10.415 -1.603
O -7.477 -2.908 -2.904
O -1.842 -5.419 -0.704
O -0.944 -9.652 0.616
O 0.911 -8.659 2.537
O -6.811 -4.520 -0.601
O -3.947 -1.151 1.236
O 0.013 -4.427 1.216
O -6.579 -7.140 -1.584
O 0.245 -7.046 0.234
O -2.351 -2.887 0.591
Al -2.155 -1.438 1.783
Al -3.889 -6.704 1.920
Al -2.541 -9.128 -0.214
Al -4.547 -5.863 -4.224
Al -4.025 -2.439 -0.153
Al -4.411 -10.128 -2.150
Al -2.019 -5.703 3.856
Al -2.677 -4.862 -2.287
F -3.834 -3.813 -1.351
F -3.826 -9.159 -3.577
F -1.639 -7.989 -1.312
F -2.740 -2.407 3.210
F -4.927 -3.578 0.945
F -6.021 -4.983 -3.616
F -2.732 -7.754 0.983
F -0.545 -6.583 3.248
```

Calculated values
magnetization: 0.000 μB/f.u.
calculated density: 4.1 g/cm³
calculated volume: 91.8 Å³/f.u.
uncorrected formation energy: -2.82 eV/atom
raw total energy: -7.038 eV/atom
space-group type: No. 62

[4]
Computed, not measured: crystalline Li2IrRh at its relaxed geometry at the GGA-PBEsol level of DFT.

Structure (extended XYZ):
```
4
Lattice="-1.276 1.883 -1.299 -3.884 -1.192 2.089 2.124 2.048 3.528" Properties=species:S:1:pos:R:3 pbc="T T T"
Ir -0.638 0.941 -0.649
Rh -3.218 1.287 -0.254
Li -0.227 1.201 1.966
Li -2.809 1.538 2.352
```

Calculated values
magnetization: 0.000 μB/f.u.
calculated density: 9.9 g/cm³
calculated volume: 52.0 Å³/f.u.
distance to the lowest polymorph of the same formula: 0.0 meV per atom
ΔH_f (0 K): -0.165 eV per atom
raw total energy: -5.639 eV/atom
space-group type: No. 12

[5]
Computed, not measured: crystalline BiAs2PbBr at its relaxed geometry at the GGA-PBEsol level of DFT.

Structure (extended XYZ):
```
5
Lattice="-4.943 -1.664 1.286 1.839 -1.856 4.666 -1.001 4.734 2.278" Properties=species:S:1:pos:R:3 pbc="T T T"
As -0.501 2.367 1.139
As 0.920 -0.928 2.333
Bi -2.053 0.607 4.115
Pb 0.000 0.000 0.000
Br -2.472 -0.832 0.643
```

Calculated values
magnetization: 0.001 μB/f.u.
calculated density: 7.0 g/cm³
calculated volume: 153.6 Å³/f.u.
uncorrected formation energy: 0.68 eV/atom
raw total energy: -3.391 eV/atom
space-group type: No. 123

[6]
Computed, not measured: crystalline Cu2SiMo at its relaxed geometry at the GGA-PBEsol level of DFT.

Structure (extended XYZ):
```
4
Lattice="2.893 0.000 0.000 0.000 2.893 0.000 0.000 0.000 6.045" Properties=species:S:1:pos:R:3 pbc="T T T"
Cu 0.000 0.000 1.713
Cu 0.000 0.000 4.333
Mo 1.447 1.447 0.000
Si 1.447 1.447 3.023
```

Calculated values
magnetization: 0.000 μB/f.u.
calculated density: 8.2 g/cm³
calculated volume: 50.6 Å³/f.u.
uncorrected formation energy: 0.18 eV/atom
raw total energy: -6.362 eV/atom
space-group type: No. 123

[7]
Computed, not measured: crystalline Cd2HgAu at its relaxed geometry at the GGA-PBEsol level of DFT.

Structure (extended XYZ):
```
4
Lattice="4.800 0.000 0.000 2.400 4.157 0.000 2.400 1.386 3.919" Properties=species:S:1:pos:R:3 pbc="T T T"
Cd 7.200 4.157 2.939
Cd 2.400 1.386 0.980
Hg 4.800 2.771 1.960
Au 0.000 0.000 0.000
```

Calculated values
magnetization: 0.000 μB/f.u.
calculated density: 13.2 g/cm³
calculated volume: 78.2 Å³/f.u.
distance to the lowest polymorph of the same formula: 29.6 meV per atom
ΔH_f (0 K): -0.050 eV per atom
raw total energy: -1.771 eV/atom
space-group type: No. 225

[8]
Computed, not measured: crystalline CdAs2Ru at its relaxed geometry at the GGA-PBEsol level of DFT.

Structure (extended XYZ):
```
4
Lattice="-1.526 -2.824 2.869 3.291 -2.644 -0.852 1.039 4.300 1.556" Properties=species:S:1:pos:R:3 pbc="T T T"
As 1.844 -1.951 2.291
As 0.961 0.783 1.282
Cd 1.646 -1.322 -0.426
Ru -0.763 -1.412 1.434
```

Calculated values
magnetization: 0.000 μB/f.u.
calculated density: 9.1 g/cm³
calculated volume: 66.1 Å³/f.u.
ΔH_f (0 K): 0.243 eV per atom
raw total energy: -5.153 eV/atom
space-group type: No. 139